Record 1
# Li2VPt

Crystalline Li2VPt at its relaxed geometry (PBE, the Alexandria database).

The polymorph energy (0 for the lowest one) comes out at 0.0 kJ per mole of atoms. The value obtained for the density of states at the Fermi level is 3.2 states/eV/cell. As for the calculated formation energy: -0.012 eV/atom.

a b c (Å): 9.734 9.734 9.734
angles (deg): 15.76 15.76 15.76
Fractional coordinates of all 4 atoms:
Li 0.091 0.091 0.091
Li 0.909 0.909 0.909
V 0.000 0.000 0.000
Pt 0.500 0.500 0.500



Record 2
# CsNpSe4

Crystalline CsNpSe4 at its relaxed geometry (PBE, the Alexandria database).

The polymorph energy (0 for the lowest one) comes out at 0.0 kJ per mole of atoms. The value obtained for the density of states at the Fermi level is 17.9 states/eV/cell. Its uncorrected formation energy is -5.3 eV per formula unit.

a b c (Å): 6.334 6.334 9.067
angles (deg): 90.00 90.00 90.00
Fractional coordinates of all 12 atoms:
Cs 0.250 0.250 0.000
Cs 0.750 0.750 0.000
Np 0.250 0.250 0.500
Np 0.750 0.750 0.500
Se 0.111 0.611 0.313
Se 0.111 0.889 0.687
Se 0.389 0.611 0.687
Se 0.389 0.889 0.313
Se 0.611 0.111 0.687
Se 0.611 0.389 0.313
Se 0.889 0.111 0.313
Se 0.889 0.389 0.687



Record 3
# Na7Al3O8

Crystalline Na7Al3O8 at its relaxed geometry (PBE, the Alexandria database).

The value obtained for the density of states at the Fermi level is 0.0 states/eV/cell. Its uncorrected formation energy is -39.0 eV per formula unit.

a b c (Å): 5.919 8.030 11.425
angles (deg): 69.46 89.83 71.20
Fractional coordinates of all 36 atoms:
Na 0.031 0.205 0.231
Na 0.053 0.194 0.738
Na 0.128 0.588 0.056
Na 0.158 0.597 0.552
Na 0.225 0.016 0.052
Na 0.244 0.991 0.556
Na 0.346 0.404 0.832
Na 0.654 0.596 0.168
Na 0.756 0.009 0.444
Na 0.775 0.984 0.948
Na 0.842 0.403 0.448
Na 0.872 0.412 0.944
Na 0.947 0.806 0.262
Na 0.969 0.795 0.769
Al 0.337 0.405 0.341
Al 0.432 0.799 0.365
Al 0.458 0.825 0.854
Al 0.542 0.175 0.146
Al 0.568 0.201 0.635
Al 0.663 0.595 0.659
O 0.039 0.490 0.269
O 0.140 0.903 0.396
O 0.180 0.868 0.917
O 0.281 0.300 0.036
O 0.346 0.267 0.505
O 0.437 0.594 0.335
O 0.449 0.717 0.739
O 0.479 0.057 0.772
O 0.521 0.943 0.228
O 0.551 0.283 0.261
O 0.563 0.406 0.665
O 0.654 0.733 0.495
O 0.719 0.700 0.964
O 0.820 0.132 0.083
O 0.860 0.097 0.604
O 0.961 0.510 0.731